[1]
## Li2Dy3Ge4 (GGA-PBE)

Data for a relaxed Li2Dy3Ge4 crystal.

a = 5.8435 Å, b = 5.8435 Å, c = 8.3012 Å
α = 106.90°, β = 106.90°, γ = 42.23°
Closest atoms and distances in Å follow each position.
Fractional coordinates of all 9 atoms:
Li 0.1786 0.1786 0.3525  3 Ge 2.48-2.50
Li 0.8214 0.8214 0.6475  3 Ge 2.48-2.50
Dy 0.1318 0.1318 0.6886  7 Ge 2.98-3.12, 4 Li 2.99-3.29
Dy 0.5000 0.5000 0.0000  8 Ge 3.03-3.38
Dy 0.8682 0.8682 0.3114  7 Ge 2.98-3.12, 4 Li 2.99-3.29
Ge 0.2095 0.2095 0.0662  1 Li 2.50, 2 Ge 2.65
Ge 0.4263 0.4263 0.6030  2 Li 2.48, 1 Ge 2.69
Ge 0.5737 0.5737 0.3970  2 Li 2.48, 1 Ge 2.69
Ge 0.7905 0.7905 0.9338  1 Li 2.50, 2 Ge 2.65

Output
Total magnetic moment (μB per formula unit): 0.00
Energy relative to the elements (eV/atom): -0.69



[2]
## PmIn2SnSe4 (GGA-PBE)

Data for a relaxed PmIn2SnSe4 crystal.

a = 7.5060 Å, b = 4.2271 Å, c = 7.6196 Å
α = 90.00°, β = 108.86°, γ = 90.00°
Closest atoms and distances in Å follow each position.
Fractional coordinates of all 8 atoms:
Pm 0.0000 0.0000 0.0000  6 Se 2.94-2.97
In 0.0000 0.5000 0.5000  6 Se 3.07-3.11
In 0.5000 0.0000 0.5000  6 Se 3.16-3.19
Sn 0.5000 0.5000 0.0000  6 Se 3.04-3.05
Se 0.2350 0.5000 0.2298  2 Pm 2.94, 1 Sn 3.05, 3 In 3.11-3.16
Se 0.2434 0.0000 0.7612  1 Pm 2.97, 2 Sn 3.04, 3 In 3.07-3.19
Se 0.7566 0.0000 0.2388  1 Pm 2.97, 2 Sn 3.04, 3 In 3.07-3.19
Se 0.7650 0.5000 0.7702  2 Pm 2.94, 1 Sn 3.05, 3 In 3.11-3.16

Output
Total magnetic moment (μB per formula unit): 0.00
DFT total energy (eV/atom): -4.3424



[3]
## TlBiBr2 (GGA-PBE)

Data for a relaxed TlBiBr2 crystal.

a = 5.5729 Å, b = 5.5729 Å, c = 5.5729 Å
α = 60.00°, β = 60.00°, γ = 60.00°
Closest atoms and distances in Å follow each position.
Fractional coordinates of all 4 atoms:
Tl 0.0000 0.0000 0.0000  8 Br 3.41
Bi 0.5000 0.5000 0.5000  8 Br 3.41
Br 0.2500 0.2500 0.2500  4 Tl 3.41, 4 Bi 3.41
Br 0.7500 0.7500 0.7500  4 Bi 3.41, 4 Tl 3.41

Output
Total magnetic moment (μB per formula unit): 0.00
DFT total energy (eV/atom): -2.5789



[4]
## Te2RhS (GGA-PBE)

Data for a relaxed Te2RhS crystal.

a = 7.3858 Å, b = 7.3858 Å, c = 7.3858 Å
α = 129.70°, β = 129.70°, γ = 73.89°
Closest atoms and distances in Å follow each position.
Fractional coordinates of all 8 atoms:
Te 0.0845 0.6250 0.9595  2 Rh 2.52, 2 S 2.82
Te 0.3750 0.3345 0.4595  2 Rh 2.52, 2 S 2.82
Te 0.6655 0.1250 0.0405  2 Rh 2.52, 2 S 2.82
Te 0.8750 0.9155 0.5405  2 Rh 2.52, 2 S 2.82
Rh 0.0000 0.0000 0.0000  4 Te 2.52
Rh 0.7500 0.2500 0.5000  4 Te 2.52
S 0.2500 0.7500 0.5000  4 Te 2.82
S 0.5000 0.5000 0.0000  4 Te 2.82

Output
Total magnetic moment (μB per formula unit): 0.00
DFT total energy (eV/atom): -4.3211



[5]
## LaTi2BAs (GGA-PBE)

Data for a relaxed LaTi2BAs crystal.

a = 4.8914 Å, b = 4.8914 Å, c = 5.4830 Å
α = 90.00°, β = 90.00°, γ = 90.00°
Closest atoms and distances in Å follow each position.
Fractional coordinates of all 5 atoms:
La 0.0000 0.0000 0.0000  4 Ti 2.45
Ti 0.0000 0.5000 0.0000  2 La 2.45
Ti 0.5000 0.0000 0.0000  2 La 2.45
B 0.5000 0.5000 0.5000  4 As 3.46, 8 Ti 3.67
As 0.0000 0.0000 0.5000  2 La 2.74

Output
Total magnetic moment (μB per formula unit): 0.00
Energy relative to the elements (eV/atom): 2.15



[6]
## Mg2AuSe (GGA-PBE)

Data for a relaxed Mg2AuSe crystal.

a = 6.6165 Å, b = 6.6165 Å, c = 6.6165 Å
α = 146.71°, β = 146.71°, γ = 47.80°
Closest atoms and distances in Å follow each position.
Fractional coordinates of all 4 atoms:
Mg 0.0000 0.0000 0.0000  4 Au 2.68
Mg 0.7500 0.2500 0.5000  4 Se 2.68
Au 0.5000 0.5000 0.0000  4 Mg 2.68
Se 0.2500 0.7500 0.5000  4 Mg 2.68

Output
Total magnetic moment (μB per formula unit): 0.00
DFT total energy (eV/atom): -3.0224



[7]
## Sr2AlZn3Ge4 (GGA-PBE)

Data for a relaxed Sr2AlZn3Ge4 crystal.

a = 4.4479 Å, b = 4.4479 Å, c = 10.6693 Å
α = 90.00°, β = 90.00°, γ = 90.00°
Closest atoms and distances in Å follow each position.
Fractional coordinates of all 10 atoms:
Sr 0.0000 0.5000 0.2457  6 Zn 3.38-3.51, 8 Ge 3.40-3.44, 2 Al 3.51
Sr 0.5000 0.0000 0.7543  6 Zn 3.38-3.51, 8 Ge 3.40-3.44, 2 Al 3.51
Al 0.0000 0.0000 0.5000  4 Ge 2.64
Zn 0.0000 0.5000 0.8691  5 Ge 2.52-2.63
Zn 0.5000 0.0000 0.1309  5 Ge 2.52-2.63
Zn 0.5000 0.5000 0.5000  4 Ge 2.64
Ge 0.0000 0.0000 0.0000  4 Zn 2.63
Ge 0.0000 0.5000 0.6329  3 Zn 2.52-2.64, 2 Al 2.64
Ge 0.5000 0.0000 0.3671  3 Zn 2.52-2.64, 2 Al 2.64
Ge 0.5000 0.5000 0.0000  4 Zn 2.63

Output
Total magnetic moment (μB per formula unit): 0.00
Energy relative to the elements (eV/atom): -0.36



[8]
## Ba2ScCd (GGA-PBE)

Data for a relaxed Ba2ScCd crystal.

a = 4.1725 Å, b = 5.3659 Å, c = 7.4464 Å
α = 90.00°, β = 106.27°, γ = 90.00°
Closest atoms and distances in Å follow each position.
Fractional coordinates of all 4 atoms:
Ba 0.0000 0.0000 0.0000  2 Sc 3.63-3.64, 4 Cd 3.71
Ba 0.3147 0.5000 0.6313  2 Cd 3.67-3.68, 4 Sc 3.73
Sc 0.7068 0.0000 0.4164  2 Cd 3.07
Cd 0.6041 0.5000 0.2079  2 Sc 3.07

Output
Total magnetic moment (μB per formula unit): 0.01
Energy relative to the elements (eV/atom): 0.09